Crystalline ScCdSeI2 at its relaxed geometry. Source: the Alexandria database, functional GGA-PBE.

abc: 5.578 5.578 6.207
angles: 90.00 90.00 90.00
Space group P4/mmm (No. 123)
Symmetry-distinct sites (fractional):
Sc (0.000, 0.000, 0.000)
Cd (0.000, 0.000, 0.500)
Se (0.500, 0.500, 0.500)
I (0.000, 0.500, 0.000)

Output
The crystal system is tetragonal. For the formation energy (no corrections), the calculation gives -66 meV/atom.

---

Crystalline ScCdTe2I at its relaxed geometry. Source: the Alexandria database, functional GGA-PBE.

abc: 5.633 5.633 5.658
angles: 90.00 90.00 90.00
Space group P4/mmm (No. 123)
Symmetry-distinct sites (fractional):
Sc (0.000, 0.000, 0.000)
Cd (0.500, 0.500, 0.500)
Te (0.000, 0.500, 0.000)
I (0.000, 0.000, 0.500)

Output
The distance to the lowest polymorph of the same formula is 0 meV/atom. The crystal system is tetragonal. For the formation energy (no corrections), the calculation gives -350 meV/atom.

---

Crystalline ScCdTeI2 at its relaxed geometry. Source: the Alexandria database, functional GGA-PBE.

abc: 5.676 5.676 5.796
angles: 90.00 90.00 90.00
Space group P4/mmm (No. 123)
Symmetry-distinct sites (fractional):
Sc (0.000, 0.000, 0.000)
Cd (0.500, 0.500, 0.500)
Te (0.000, 0.000, 0.500)
I (0.000, 0.500, 0.000)

Output
The distance to the lowest polymorph of the same formula is 0 meV/atom. The crystal system is tetragonal. For the formation energy (no corrections), the calculation gives -524 meV/atom.

---

Crystalline ScCd2WI at its relaxed geometry. Source: the Alexandria database, functional GGA-PBE.

abc: 5.697 5.697 4.907
angles: 90.00 90.00 90.00
Space group P4/mmm (No. 123)
Symmetry-distinct sites (fractional):
Sc (0.000, 0.000, 0.000)
Cd (0.000, 0.500, 0.000)
W (0.000, 0.000, 0.500)
I (0.500, 0.500, 0.500)

Output
The crystal system is tetragonal. For the formation energy (no corrections), the calculation gives 1283 meV/atom.

---

Crystalline YScCdI2 at its relaxed geometry. Source: the Alexandria database, functional GGA-PBE.

abc: 5.593 5.593 6.139
angles: 90.00 90.00 90.00
Space group P4/mmm (No. 123)
Symmetry-distinct sites (fractional):
Y (0.000, 0.000, 0.000)
Sc (0.000, 0.000, 0.500)
Cd (0.500, 0.500, 0.000)
I (0.000, 0.500, 0.500)

Output
The crystal system is tetragonal. For the formation energy (no corrections), the calculation gives -27 meV/atom.

---

Crystalline CdSe2I at its relaxed geometry. Source: the Alexandria database, functional GGA-PBE.

abc: 7.396 7.396 9.356
angles: 90.00 90.00 90.00
Space group I-42d (No. 122)
Symmetry-distinct sites (fractional):
Cd (0.000, 0.000, 0.000)
Se (0.214, 0.750, 0.125)
I (0.000, 0.000, 0.500)

Output
The distance to the lowest polymorph of the same formula is 272 meV/atom. The crystal system is tetragonal. For the formation energy (no corrections), the calculation gives 145 meV/atom.

---

Crystalline CdSe2I at its relaxed geometry. Source: the Alexandria database, functional GGA-PBE.

abc: 7.339 7.339 7.339
angles: 90.00 90.00 90.00
Space group Fm-3m (No. 225)
Symmetry-distinct sites (fractional):
Cd (0.000, 0.000, 0.000)
Se (0.250, 0.250, 0.250)
I (0.000, 0.000, 0.500)

Output
The distance to the lowest polymorph of the same formula is 537 meV/atom. The crystal system is cubic. For the formation energy (no corrections), the calculation gives 410 meV/atom.

---

Crystalline CdSe3I at its relaxed geometry. Source: the Alexandria database, functional GGA-PBE.

abc: 5.274 5.274 5.274
angles: 90.00 90.00 90.00
Space group Pm-3m (No. 221)
Symmetry-distinct sites (fractional):
Cd (0.000, 0.000, 0.000)
Se (0.000, 0.000, 0.500)
I (0.500, 0.500, 0.500)

Output
The distance to the lowest polymorph of the same formula is 0 meV/atom. The crystal system is cubic. For the formation energy (no corrections), the calculation gives 589 meV/atom.

---

Crystalline CdSe2I at its relaxed geometry. Source: the Alexandria database, functional GGA-PBE.

abc: 3.3599 3.3599 37.3855
angles: 90.00 90.00 120.00
Space group R-3m (No. 166, hexagonal axes)
Symmetry-distinct sites (fractional):
Cd (0.0000, 0.0000, 0.0000)
Se (0.0000, 0.0000, 0.0666)
I (0.0000, 0.0000, 0.5000)

Output
The distance to the lowest polymorph of the same formula is 450 meV/atom. The crystal system is trigonal. For the formation energy (no corrections), the calculation gives 322 meV/atom.

---

Crystalline CdSeI3 at its relaxed geometry. Source: the Alexandria database, functional GGA-PBE.

abc: 5.914 5.914 5.914
angles: 90.00 90.00 90.00
Space group Pm-3m (No. 221)
Symmetry-distinct sites (fractional):
Cd (0.000, 0.000, 0.000)
Se (0.500, 0.500, 0.500)
I (0.000, 0.000, 0.500)

Output
The distance to the lowest polymorph of the same formula is 146 meV/atom. The crystal system is cubic. For the formation energy (no corrections), the calculation gives 272 meV/atom.

---

Crystalline Cd3Se2I2 at its relaxed geometry. Source: the Alexandria database, functional GGA-PBE.

abc: 4.090 7.172 7.482
angles: 83.42 89.99 73.47
Space group P-1 (No. 2)
Symmetry-distinct sites (fractional):
Cd (0.000, 0.000, 0.000)
Cd (0.248, 0.503, 0.777)
Se (0.372, 0.256, 0.089)
I (0.126, 0.748, 0.396)

Output
The crystal system is triclinic. For the formation energy (no corrections), the calculation gives -485 meV/atom.

---

Crystalline Cd2SeI at its relaxed geometry. Source: the Alexandria database, functional GGA-PBE.

abc: 6.670 6.670 13.676
angles: 90.00 90.00 90.00
Space group I-42d (No. 122)
Symmetry-distinct sites (fractional):
Cd (0.194, 0.250, 0.125)
Se (0.000, 0.000, 0.000)
I (0.000, 0.000, 0.500)

Output
The distance to the lowest polymorph of the same formula is 0 meV/atom. The crystal system is tetragonal. For the formation energy (no corrections), the calculation gives -321 meV/atom.

---

no.,total magnetization (μB per cell)
1,1.792
2,0.000
3,0.000
4,1.857
5,0.000
6,0.000
7,0.000
8,0.000
9,0.000
10,3.001
11,0.000
12,0.000